Computed, not measured: a relaxed structure of Ba3CeBe2O6 at the PBE level of DFT.

Cell lengths 5.8335, 5.8335, 7.4796 Å; angles 90.00, 90.00, 120.00 degrees
Last column: nearest neighbours and their distance in Å.
Sites, in units of the cell vectors:
Ba 0.0000 0.0000 0.0000  6 O 2.93
Ba 0.3333 0.6667 0.6908  9 O 2.92-3.26, 1 Be 3.10
Ba 0.6667 0.3333 0.3092  9 O 2.92-3.26, 1 Be 3.10
Ce 0.0000 0.0000 0.5000  6 O 2.32
Be 0.3333 0.6667 0.2768  3 O 1.57
Be 0.6667 0.3333 0.7232  3 O 1.57
O 0.1797 0.3593 0.3079  1 Be 1.57
O 0.1797 0.8203 0.3079  1 Be 1.57
O 0.3593 0.1797 0.6921  1 Be 1.57
O 0.6407 0.8203 0.3079  1 Be 1.57
O 0.8203 0.1797 0.6921  1 Be 1.57
O 0.8203 0.6407 0.6921  1 Be 1.57

Properties
The crystal system is trigonal. The calculation puts the raw formation energy at -2.617 eV per atom. The density of states at the Fermi level comes out at 5.13 states/eV/f.u.